Here is Ta2RuW after structural relaxation from Alexandria via LeMat-Bulk. Energies are from PBEsol.

Cell and atoms, written as POSCAR:
```
Ta2RuW
1.0
3.7876 0.0000 0.0000
0.0000 3.7876 0.0000
-1.8938 -1.8938 4.5457
Ru Ta W
1 2 1
direct
0.2500 0.7500 0.5000 Ru
0.0000 0.0000 0.0000 Ta
0.7500 0.2500 0.5000 Ta
0.5000 0.5000 0.0000 W
```

Output
**Size of the total moment**: 0.000 μB/atom
**Symmetry**: I-4m2
**Calculated total energy**: -12.199 eV/atom